1.
Below is Mg2Ag5Au after structural relaxation, with properties calculated at the GGA-PBE level.

The structure in extended XYZ format:
```
16
Lattice="5.9432 0.0000 0.0000 0.0000 11.8891 0.0000 0.0000 0.0000 4.0658" Properties=species:S:1:pos:R:3 pbc="T T T"
Mg 1.4025 1.4445 0.0000
Mg 1.5691 7.3890 0.0000
Mg 4.3741 4.5001 0.0000
Mg 4.5407 10.4447 0.0000
Ag 0.0000 5.9446 2.0329
Ag 0.0775 8.9109 2.0329
Ag 1.4149 4.4254 0.0000
Ag 1.5567 10.3699 0.0000
Ag 2.8941 2.9664 2.0329
Ag 2.9716 0.0000 2.0329
Ag 3.0491 8.9227 2.0329
Ag 4.3865 1.5192 0.0000
Ag 4.5282 7.4637 0.0000
Ag 5.8657 2.9782 2.0329
Au 0.0000 0.0000 2.0329
Au 2.9716 5.9446 2.0329
```



2.
Below is MgAgAu5 after structural relaxation, with properties calculated at the GGA-PBE level.

The structure in extended XYZ format:
```
7
Lattice="2.8173 -4.3054 0.0000 2.8173 4.3054 0.0000 0.0000 0.0000 5.6420" Properties=species:S:1:pos:R:3 pbc="T T T"
Mg 0.0000 0.0000 0.0000
Ag 2.8173 0.0000 2.8210
Au 0.0000 0.0000 2.8210
Au 1.4086 2.1527 1.3768
Au 1.4086 2.1527 4.2653
Au 1.4086 -2.1527 1.3768
Au 1.4086 -2.1527 4.2653
```



3.
Below is Mg2AgAu after structural relaxation, with properties calculated at the GGA-PBE level.

The structure in extended XYZ format:
```
4
Lattice="0.0000 3.3110 3.3110 3.3110 0.0000 3.3110 3.3110 3.3110 0.0000" Properties=species:S:1:pos:R:3 pbc="T T T"
Mg 1.6555 1.6555 1.6555
Mg 4.9665 4.9665 4.9665
Ag 0.0000 0.0000 0.0000
Au 3.3110 3.3110 3.3110
```

Summary:
E above lowest polymorph   0.0 meV/atom



4.
Below is Mg2AgAu5 after structural relaxation, with properties calculated at the GGA-PBE level.

The structure in extended XYZ format:
```
8
Lattice="4.1018 -4.2411 0.0000 4.1018 4.2411 0.0000 -4.0861 0.0000 4.1035" Properties=species:S:1:pos:R:3 pbc="T T T"
Mg 2.0509 2.1205 0.0000
Mg 2.0509 -2.1205 0.0000
Ag -2.0431 0.0000 2.0517
Au 0.0000 0.0000 0.0000
Au 0.0078 2.1205 2.0517
Au 0.0078 -2.1205 2.0517
Au 4.1018 0.0000 0.0000
Au 2.0587 0.0000 2.0517
```

Summary:
E above lowest polymorph   2.5 meV/atom



5.
Below is Mg2Ag2Au7 after structural relaxation, with properties calculated at the GGA-PBE level.

The structure in extended XYZ format:
```
11
Lattice="4.9398 -4.3227 0.0000 4.9398 4.3227 0.0000 -0.9125 0.0000 5.0220" Properties=species:S:1:pos:R:3 pbc="T T T"
Mg 4.9398 2.5310 0.0000
Mg 4.9398 -2.5310 0.0000
Ag 2.1472 0.0000 1.2062
Ag 6.8199 0.0000 3.8158
Au -0.4562 0.0000 2.5110
Au 1.5389 1.5410 3.7213
Au 1.5389 -1.5410 3.7213
Au 3.9339 0.0000 3.6962
Au 5.0332 0.0000 1.3258
Au 7.4282 1.5410 1.3007
Au 7.4282 -1.5410 1.3007
```

Summary:
E above lowest polymorph   70.7 meV/atom



6.
Below is Mg5AgAu3 after structural relaxation, with properties calculated at the GGA-PBE level.

The structure in extended XYZ format:
```
18
Lattice="8.1509 0.0000 0.0000 -4.0755 7.0589 0.0000 0.0000 0.0000 5.8594" Properties=species:S:1:pos:R:3 pbc="T T T"
Mg -1.2334 2.1363 1.4648
Mg -2.8421 4.9226 4.3945
Mg 2.4668 0.0000 1.4648
Mg 1.2334 2.1363 4.3945
Mg 0.0000 4.7059 0.0000
Mg 0.0000 4.7059 2.9297
Mg 4.0755 2.3530 0.0000
Mg 4.0755 2.3530 2.9297
Mg 5.6841 0.0000 4.3945
Mg 2.8421 4.9226 1.4648
Ag 0.0000 0.0000 0.0000
Ag 0.0000 0.0000 2.9297
Au -1.4883 2.5777 4.3945
Au -2.5872 4.4812 1.4648
Au 2.9765 0.0000 4.3945
Au 1.4883 2.5777 1.4648
Au 5.1744 0.0000 1.4648
Au 2.5872 4.4812 4.3945
```



7.
Below is MgAgAu after structural relaxation, with properties calculated at the GGA-PBE level.

The structure in extended XYZ format:
```
3
Lattice="4.5804 0.0000 0.0000 -2.2902 3.9668 0.0000 0.0000 0.0000 2.9855" Properties=species:S:1:pos:R:3 pbc="T T T"
Mg 0.0000 0.0000 0.0000
Ag 2.2902 1.3223 0.9655
Au 0.0000 2.6445 2.0843
```

Summary:
E above lowest polymorph   95.4 meV/atom



8.
Below is Mg6AgAu10 after structural relaxation, with properties calculated at the GGA-PBE level.

The structure in extended XYZ format:
```
17
Lattice="8.0308 0.0000 0.0000 -4.0154 6.9549 0.0000 0.0000 0.0000 5.6041" Properties=species:S:1:pos:R:3 pbc="T T T"
Mg -1.4361 2.4875 1.6971
Mg -2.5793 4.4674 3.9070
Mg 2.8723 0.0000 1.6971
Mg 1.4361 2.4875 3.9070
Mg 5.1585 0.0000 3.9070
Mg 2.5793 4.4674 1.6971
Ag 0.0000 0.0000 2.8020
Au -1.1857 2.0536 4.5590
Au -2.8297 4.9013 1.0451
Au 2.3713 0.0000 4.5590
Au 1.1857 2.0536 1.0451
Au 0.0000 4.6366 0.0000
Au 0.0000 4.6366 2.8020
Au 4.0154 2.3183 0.0000
Au 4.0154 2.3183 2.8020
Au 5.6595 0.0000 1.0451
Au 2.8297 4.9013 4.5590
```



9.
Below is Mg5AgAu2 after structural relaxation, with properties calculated at the GGA-PBE level.

The structure in extended XYZ format:
```
16
Lattice="5.8916 0.0000 0.0000 0.0000 11.2304 0.0000 0.0000 0.0000 4.5876" Properties=species:S:1:pos:R:3 pbc="T T T"
Mg 0.0000 0.0000 0.0000
Mg 0.7131 2.9628 0.0000
Mg 1.0146 6.8823 2.2938
Mg 1.9312 1.2671 2.2938
Mg 2.2327 8.5781 0.0000
Mg 2.9458 5.6152 0.0000
Mg 3.6589 2.6524 0.0000
Mg 3.9604 9.9633 2.2938
Mg 4.8770 4.3481 2.2938
Mg 5.1785 8.2676 0.0000
Ag 0.0000 5.6152 0.0000
Ag 2.9458 0.0000 0.0000
Au 0.9006 9.7169 2.2938
Au 2.0452 4.1017 2.2938
Au 3.8464 7.1288 2.2938
Au 4.9910 1.5135 2.2938
```



10.
Below is Mg7Ag2Au2 after structural relaxation, with properties calculated at the GGA-PBE level.

The structure in extended XYZ format:
```
11
Lattice="5.0124 -4.1419 0.0000 5.0124 4.1419 0.0000 -1.5997 0.0000 5.6146" Properties=species:S:1:pos:R:3 pbc="T T T"
Mg 0.0000 0.0000 0.0000
Mg 2.0165 1.5871 1.4748
Mg 2.0165 -1.5871 1.4748
Mg 3.6480 0.0000 4.1640
Mg 4.7772 0.0000 1.4506
Mg 6.4087 1.5871 4.1399
Mg 6.4087 -1.5871 4.1399
Ag 4.2126 2.7072 2.8073
Ag 4.2126 -2.7072 2.8073
Au 1.0642 0.0000 4.9739
Au 7.3610 0.0000 0.6407
```

Summary:
E above lowest polymorph   144.1 meV/atom



11.
Below is Mg6AgAu2 after structural relaxation, with properties calculated at the GGA-PBE level.

The structure in extended XYZ format:
```
9
Lattice="4.2670 -2.3049 0.0000 4.2670 2.3049 0.0000 -0.5480 0.0000 8.7905" Properties=species:S:1:pos:R:3 pbc="T T T"
Mg -0.1206 0.0000 2.7221
Mg 2.6086 0.0000 3.8636
Mg 2.8059 0.0000 0.8320
Mg 5.1802 0.0000 7.9586
Mg 5.3775 0.0000 4.9270
Mg 8.1067 0.0000 6.0684
Ag 0.0000 0.0000 0.0000
Au 2.3042 0.0000 6.6422
Au 5.6819 0.0000 2.1484
```



12.
Below is Mg8Ag2Au after structural relaxation, with properties calculated at the GGA-PBE level.

The structure in extended XYZ format:
```
11
Lattice="7.7003 -2.3552 0.0000 7.7003 2.3552 0.0000 -2.7209 0.0000 6.2012" Properties=species:S:1:pos:R:3 pbc="T T T"
Mg -0.4201 0.0000 1.6532
Mg 0.7749 0.0000 4.6311
Mg 3.6010 0.0000 3.5642
Mg 5.8458 0.0000 0.4024
Mg 6.8340 0.0000 5.7988
Mg 9.0788 0.0000 2.6369
Mg 11.9049 0.0000 1.5701
Mg 13.0999 0.0000 4.5480
Ag 2.3420 0.0000 1.0489
Ag 10.3378 0.0000 5.1523
Au 6.3399 0.0000 3.1006
```



Values of formation energy from the elements, in order: -20 -17 -43 -36 -16 -47 -27 -40 -38 -20 -32 -22, all in kJ per mole of atoms.